(1)
This record from the Alexandria database describes CaZrSi3 after structural relaxation. The functional is PBE.

Output
D(E_F) in states/eV/atom: 0.286
Total DFT energy (no corrections) in Ry/atom: -0.3794
ΔE to the lowest computed polymorph in eV/atom: 0.000
Total magnetization in μB/f.u.: 0.00

a = 5.0672 Å, b = 5.0672 Å, c = 5.0672 Å
α = 90.00°, β = 90.00°, γ = 90.00°
Fractional positions:
Ca: 0.5000 0.5000 0.5000
Si: 0.0000 0.5000 0.0000
Si: 0.0000 0.0000 0.5000
Si: 0.5000 0.0000 0.0000
Zr: 0.0000 0.0000 0.0000

=====

(2)
This record from the Alexandria database describes CaZrSi2 after structural relaxation. The functional is PBE.

Output
D(E_F) in states/eV/atom: 0.729
Total DFT energy (no corrections) in Ry/atom: -0.4348
ΔE to the lowest computed polymorph in eV/atom: 0.000
Total magnetization in μB/f.u.: 0.00

a = 5.6095 Å, b = 5.6095 Å, c = 3.7707 Å
α = 89.99°, β = 89.99°, γ = 42.75°
Fractional positions:
Ca: 0.2284 0.2284 0.1250
Si: 0.9574 0.9574 0.1250
Si: 0.8058 0.8058 0.6250
Zr: 0.5085 0.5085 0.6250

=====

(3)
This record from the Alexandria database describes Ca4ZrSi after structural relaxation. The functional is PBE.

Output
D(E_F) in states/eV/atom: 0.781
Total DFT energy (no corrections) in Ry/atom: -0.2172
Total magnetization in μB/f.u.: 3.50

a = 6.4222 Å, b = 6.4222 Å, c = 6.4222 Å
α = 60.00°, β = 60.00°, γ = 60.00°
Site moments in Bohr magnetons follow the coordinates.
Fractional positions:
Ca: 0.8756 0.3748 0.3748  0.07
Ca: 0.3748 0.3748 0.8756  0.07
Ca: 0.3748 0.8756 0.3748  0.07
Ca: 0.3748 0.3748 0.3748  0.07
Zr: 0.0000 0.0000 0.0000  1.41
Si: 0.7500 0.7500 0.7500  -0.03

=====

(4)
This record from the Alexandria database describes CaZrSi2 after structural relaxation. The functional is PBE.

Output
D(E_F) in states/eV/atom: 0.664
Total DFT energy (no corrections) in Ry/atom: -0.4052
ΔE to the lowest computed polymorph in eV/atom: 0.404
Total magnetization in μB/f.u.: 0.00

a = 6.9430 Å, b = 6.9430 Å, c = 6.9430 Å
α = 33.29°, β = 33.29°, γ = 33.29°
Fractional positions:
Ca: 0.7259 0.7259 0.7259
Si: 0.9441 0.9441 0.9441
Si: 0.2939 0.2939 0.2939
Zr: 0.5360 0.5360 0.5360

=====

(5)
This record from the Alexandria database describes CaSm4 after structural relaxation. The functional is PBE.

Output
D(E_F) in states/eV/atom: 1.351
Total DFT energy (no corrections) in Ry/atom: -0.2483
Formation enthalpy at 0 K in meV per atom: 798.0
ΔE to the lowest computed polymorph in eV/atom: 0.760
Total magnetization in μB/f.u.: 0.00

a = 5.7461 Å, b = 5.7461 Å, c = 5.7461 Å
α = 90.00°, β = 90.00°, γ = 90.00°
Fractional positions:
Ca: 0.5000 0.5000 0.5000
Sm: 0.0000 0.0000 0.0000
Sm: 0.5000 0.0000 0.5000
Sm: 0.0000 0.5000 0.5000
Sm: 0.5000 0.5000 0.0000

=====

(6)
This record from the Alexandria database describes CaSm11 after structural relaxation. The functional is PBE.

Output
D(E_F) in states/eV/atom: 1.328
Total DFT energy (no corrections) in Ry/atom: -0.3269
Formation enthalpy at 0 K in meV per atom: 44.6
Total magnetization in μB/f.u.: 0.00

a = 3.5857 Å, b = 11.5504 Å, c = 11.5504 Å
α = 120.00°, β = 90.00°, γ = 90.00°
Fractional positions:
Ca: 0.0000 0.0000 0.0000
Sm: 0.0000 0.5000 0.0000
Sm: 0.0000 0.0000 0.5000
Sm: 0.0000 0.5000 0.5000
Sm: 0.5000 0.1780 0.3559
Sm: 0.5000 0.3559 0.1780
Sm: 0.5000 0.8220 0.1780
Sm: 0.5000 0.1780 0.8220
Sm: 0.5000 0.6441 0.8220
Sm: 0.5000 0.8220 0.6441
Sm: 0.0000 0.6667 0.3333
Sm: 0.0000 0.3333 0.6667

=====

(7)
This record from the Alexandria database describes CaSm after structural relaxation. The functional is PBE.

Output
D(E_F) in states/eV/atom: 1.520
Total DFT energy (no corrections) in Ry/atom: -0.2365
Formation enthalpy at 0 K in meV per atom: 142.8
ΔE to the lowest computed polymorph in eV/atom: 0.110
Total magnetization in μB/f.u.: 0.00

a = 4.1849 Å, b = 4.1849 Å, c = 4.1849 Å
α = 90.00°, β = 90.00°, γ = 90.00°
Fractional positions:
Ca: 0.5000 0.5000 0.5000
Sm: 0.0000 0.0000 0.0000

=====

(8)
This record from the Alexandria database describes CaSm after structural relaxation. The functional is PBE.

Output
D(E_F) in states/eV/atom: 1.325
Total DFT energy (no corrections) in Ry/atom: -0.2439
Formation enthalpy at 0 K in meV per atom: 41.4
ΔE to the lowest computed polymorph in eV/atom: 0.009
Total magnetization in μB/f.u.: 0.00

a = 3.7309 Å, b = 3.7309 Å, c = 12.5823 Å
α = 81.47°, β = 81.47°, γ = 60.00°
Fractional positions:
Ca: 0.5520 0.5520 0.3439
Ca: 0.1302 0.1302 0.6093
Sm: 0.7117 0.7117 0.8649
Sm: 0.3032 0.3032 0.0904